(1)
First-principles (PBE) data for a relaxed structure of TaCd4Te, as listed in Alexandria.

Lattice parameters (Å, degrees): 5.747 5.747 5.747 60.00 60.00 60.00
Positions (direct):
1 Ta 0.750 0.750 0.750
2 Cd 0.872 0.376 0.376
3 Cd 0.376 0.376 0.872
4 Cd 0.376 0.872 0.376
5 Cd 0.376 0.376 0.376
6 Te 0.000 0.000 0.000

Output
Crystal system: cubic
Calculated total energy, eV for the cell shown: -15.340


(2)
First-principles (PBE) data for a relaxed structure of Cr2As2Pt, as listed in Alexandria.

Lattice parameters (Å, degrees): 3.681 3.681 6.230 72.82 72.82 90.00
Positions (direct):
1 Cr 0.403 0.403 0.193
2 Cr 0.597 0.597 0.807
3 As 0.750 0.250 0.500
4 As 0.250 0.750 0.500
5 Pt 0.000 0.000 0.000

Output
Crystal system: tetragonal
Energy of formation, meV/atom: 259
Energy above the most stable polymorph in this dataset, meV per atom: 234


(3)
First-principles (PBE) data for a relaxed structure of La2Nd2TmCd5, as listed in Alexandria.

Lattice parameters (Å, degrees): 4.853 10.828 10.828 90.00 90.00 90.00
Positions (direct):
1 La 0.000 0.675 0.175
2 La 0.000 0.325 0.825
3 La 0.000 0.175 0.325
4 La 0.000 0.825 0.675
5 Nd 0.000 0.127 0.627
6 Nd 0.000 0.873 0.373
7 Nd 0.000 0.627 0.873
8 Nd 0.000 0.373 0.127
9 Tm 0.000 0.000 0.000
10 Tm 0.000 0.500 0.500
11 Cd 0.500 0.188 0.065
12 Cd 0.500 0.812 0.935
13 Cd 0.500 0.065 0.812
14 Cd 0.500 0.688 0.435
15 Cd 0.500 0.935 0.188
16 Cd 0.500 0.312 0.565
17 Cd 0.500 0.565 0.688
18 Cd 0.500 0.435 0.312
19 Cd 0.500 0.500 0.000
20 Cd 0.500 0.000 0.500

Output
Crystal system: tetragonal
Energy of formation, meV/atom: -191